(1)
Here is a relaxed structure of Cs2TiCuBr6 from Alexandria via LeMat-Bulk. Energies are from PBE-GGA.

abc: 8.012 9.443 8.774
angles: 90.00 90.00 90.00
Space group Imm2 (No. 44)
Inequivalent atoms, fractional coordinates:
Cs 0.000 0.241 0.000 [4 per cell]
Ti 0.000 0.000 0.493 [2 per cell]
Cu 0.000 0.500 0.367 [2 per cell]
Br 0.000 0.278 0.518 [4 per cell]
Br 0.228 0.000 0.295 [4 per cell]
Br 0.230 0.000 0.724 [4 per cell]

Calculated values
**D(E_F)**: 13.52 states/eV/cell
**Relative energy among the computed polymorphs**: 0.000 eV per atom
**Energy**: -3.62 eV/atom
**E_form (uncorrected)**: -28.7 kcal/mol of atoms

=====

(2)
Here is a relaxed structure of NiIBr2 from Alexandria via LeMat-Bulk. Energies are from PBE-GGA.

abc: 6.436 6.916 6.967
angles: 117.25 97.14 97.60
Space group P1 (No. 1)
Inequivalent atoms, fractional coordinates:
Ni 0.000 0.000 0.000 [1 per cell]
Ni 0.498 0.864 0.133 [1 per cell]
I 0.254 0.819 0.767 [1 per cell]
I 0.752 0.629 0.952 [1 per cell]
Br 0.259 0.087 0.320 [1 per cell]
Br 0.329 0.557 0.155 [1 per cell]
Br 0.760 0.187 0.222 [1 per cell]
Br 0.831 0.021 0.696 [1 per cell]

Calculated values
**D(E_F)**: 0.47 states/eV/cell
**Relative energy among the computed polymorphs**: 0.033 eV per atom
**Energy**: -2.82 eV/atom
**E_form (uncorrected)**: -3.6 kcal/mol of atoms

=====

(3)
Here is a relaxed structure of MgIr3Cl from Alexandria via LeMat-Bulk. Energies are from PBE-GGA.

abc: 4.449 4.449 4.449
angles: 90.00 90.00 90.00
Space group Pm-3m (No. 221)
Inequivalent atoms, fractional coordinates:
Mg 0.000 0.000 0.000 [1 per cell]
Ir 0.000 0.500 0.500 [3 per cell]
Cl 0.500 0.500 0.500 [1 per cell]

Calculated values
**D(E_F)**: 6.01 states/eV/cell
**Relative energy among the computed polymorphs**: 0.000 eV per atom
**Energy**: -4.85 eV/atom
**E_form (uncorrected)**: 26.6 kcal/mol of atoms

=====

(4)
Here is a relaxed structure of SrCaAlCu2 from Alexandria via LeMat-Bulk. Energies are from PBE-GGA.

abc: 5.164 5.164 5.613
angles: 90.00 90.00 90.00
Space group P4/mmm (No. 123)
Inequivalent atoms, fractional coordinates:
Sr 0.000 0.000 0.000 [1 per cell]
Ca 0.500 0.500 0.500 [1 per cell]
Al 0.500 0.500 0.000 [1 per cell]
Cu 0.000 0.500 0.500 [2 per cell]

Calculated values
**ΔH_f (0 K)**: 0.598 eV/atom
**D(E_F)**: 3.25 states/eV/cell
**Energy**: -2.53 eV/atom

=====

(5)
Here is a relaxed structure of AcPr2In2Hg2 from Alexandria via LeMat-Bulk. Energies are from PBE-GGA.

abc: 5.0396 5.0396 29.0811
angles: 90.00 90.00 120.00
Space group R-3m (No. 166, hexagonal axes)
Inequivalent atoms, fractional coordinates:
Ac 0.0000 0.0000 0.0000 [3 per cell]
Pr 0.0000 0.0000 0.1326 [6 per cell]
In 0.0000 0.0000 0.2627 [6 per cell]
Hg 0.0000 0.0000 0.4232 [6 per cell]

Calculated values
**ΔH_f (0 K)**: -0.341 eV/atom
**D(E_F)**: 13.31 states/eV/cell
**Energy**: -3.16 eV/atom

=====

(6)
Here is a relaxed structure of Y6AuS4 from Alexandria via LeMat-Bulk. Energies are from PBE-GGA.

abc: 3.910 12.948 20.171
angles: 90.00 90.00 90.00
Space group Cmcm (No. 63)
Inequivalent atoms, fractional coordinates:
Y 0.000 0.000 0.000 [4 per cell]
Y 0.000 0.168 0.250 [4 per cell]
Y 0.000 0.273 0.585 [8 per cell]
Y 0.000 0.453 0.162 [8 per cell]
Au 0.000 0.160 0.750 [4 per cell]
S 0.000 0.090 0.123 [8 per cell]
S 0.000 0.362 0.040 [8 per cell]

Calculated values
**D(E_F)**: 24.07 states/eV/cell
**Energy**: -6.98 eV/atom
**E_form (uncorrected)**: -38.1 kcal/mol of atoms

=====

(7)
Here is a relaxed structure of ZnBi2BPb from Alexandria via LeMat-Bulk. Energies are from PBE-GGA.

abc: 6.022 6.022 5.110
angles: 90.00 90.00 90.00
Space group P4/mmm (No. 123)
Inequivalent atoms, fractional coordinates:
Zn 0.000 0.000 0.000 [1 per cell]
Bi 0.000 0.500 0.500 [2 per cell]
B 0.500 0.500 0.000 [1 per cell]
Pb 0.000 0.000 0.500 [1 per cell]

Calculated values
**ΔH_f (0 K)**: 1.620 eV/atom
**D(E_F)**: 5.27 states/eV/cell
**Energy**: -2.26 eV/atom

=====

(8)
Here is a relaxed structure of ZrPt2F from Alexandria via LeMat-Bulk. Energies are from PBE-GGA.

abc: 8.404 8.404 4.479
angles: 90.00 90.00 90.00
Space group I-42d (No. 122)
Inequivalent atoms, fractional coordinates:
Zr 0.000 0.000 0.000 [4 per cell]
Pt 0.187 0.750 0.125 [8 per cell]
F 0.000 0.000 0.500 [4 per cell]

Calculated values
**D(E_F)**: 8.25 states/eV/cell
**Relative energy among the computed polymorphs**: 0.000 eV per atom
**Energy**: -6.69 eV/atom
**E_form (uncorrected)**: -24.6 kcal/mol of atoms

=====

(9)
Here is a relaxed structure of Zr4TlC2 from Alexandria via LeMat-Bulk. Energies are from PBE-GGA.

abc: 3.3661 3.3661 39.0275
angles: 90.00 90.00 120.00
Space group R-3m (No. 166, hexagonal axes)
Inequivalent atoms, fractional coordinates:
Zr 0.0000 0.0000 0.1299 [6 per cell]
Zr 0.0000 0.0000 0.2677 [6 per cell]
Tl 0.0000 0.0000 0.0000 [3 per cell]
C 0.0000 0.0000 0.4303 [6 per cell]

Calculated values
**ΔH_f (0 K)**: -0.593 eV/atom
**D(E_F)**: 6.29 states/eV/cell
**Energy**: -8.45 eV/atom

=====

(10)
Here is a relaxed structure of Tb2Dy3Er from Alexandria via LeMat-Bulk. Energies are from PBE-GGA.

abc: 10.649 6.145 11.433
angles: 90.00 90.00 90.00
Space group Cmcm (No. 63)
Inequivalent atoms, fractional coordinates:
Tb 0.167 0.166 0.250 [8 per cell]
Dy 0.000 0.000 0.000 [4 per cell]
Dy 0.166 0.500 0.000 [8 per cell]
Er 0.000 0.334 0.750 [4 per cell]

Calculated values
**ΔH_f (0 K)**: 0.002 eV/atom
**D(E_F)**: 28.68 states/eV/cell
**Relative energy among the computed polymorphs**: 0.000 eV per atom
**Energy**: -4.60 eV/atom

=====

(11)
Here is a relaxed structure of Mg2InSe from Alexandria via LeMat-Bulk. Energies are from PBE-GGA.

abc: 3.589 3.589 8.216
angles: 90.00 90.00 90.00
Space group P4mm (No. 99)
Inequivalent atoms, fractional coordinates:
Mg 0.000 0.000 0.000 [1 per cell]
Mg 0.500 0.500 0.414 [1 per cell]
In 0.500 0.500 0.771 [1 per cell]
Se 0.000 0.000 0.315 [1 per cell]

Calculated values
**D(E_F)**: 1.73 states/eV/cell
**Relative energy among the computed polymorphs**: 0.092 eV per atom
**Energy**: -2.82 eV/atom
**E_form (uncorrected)**: -10.8 kcal/mol of atoms

=====

(12)
Here is a relaxed structure of Ca2ZnCd6Hg from Alexandria via LeMat-Bulk. Energies are from PBE-GGA.

abc: 7.1124 7.1124 36.1637
angles: 90.00 90.00 120.00
Space group R-3m (No. 166, hexagonal axes)
Inequivalent atoms, fractional coordinates:
Ca 0.0000 0.0000 0.1040 [6 per cell]
Ca 0.0000 0.0000 0.2794 [6 per cell]
Zn 0.0000 0.0000 0.0000 [3 per cell]
Zn 0.0000 0.0000 0.5000 [3 per cell]
Cd 0.0532 0.5266 0.3046 [18 per cell]
Cd 0.0649 0.5325 0.8626 [18 per cell]
Hg 0.0000 0.0000 0.4256 [6 per cell]

Calculated values
**ΔH_f (0 K)**: -0.083 eV/atom
**D(E_F)**: 31.87 states/eV/cell
**Energy**: -1.19 eV/atom

=====

no.,V (Å³/atom)
1,33.2
2,33.4
3,17.6
4,29.9
5,30.5
6,23.2
7,37.1
8,19.8
9,18.2
10,31.2
11,26.5
12,26.4